1.
The following is a meta-GGA SCAN calculation of TlTeHPt2 at its PBEsol-relaxed geometry, from Alexandria via LeMat-Bulk.

```
5
Lattice="5.066 0.000 0.000 0.000 5.066 0.000 0.000 0.000 5.538" Properties=species:S:1:pos:R:3 pbc="T T T"
Tl 0.000 0.000 0.000
Te 0.000 0.000 2.769
H 2.533 2.533 2.769
Pt 0.000 2.533 0.000
Pt 2.533 0.000 0.000
```



2.
The following is a meta-GGA SCAN calculation of TiHPt3 at its PBEsol-relaxed geometry, from Alexandria via LeMat-Bulk.

```
5
Lattice="3.971 0.000 0.000 0.000 3.971 0.000 0.000 0.000 3.971" Properties=species:S:1:pos:R:3 pbc="T T T"
Ti 0.000 0.000 0.000
H 1.985 1.985 1.985
Pt 0.000 1.985 1.985
Pt 1.985 0.000 1.985
Pt 1.985 1.985 0.000
```



Number 1: mass density 8447 kg/m3, total DFT energy (no corrections) -244.79 eV/f.u.. Number 2: mass density 16817 kg/m3, total DFT energy (no corrections) -232.47 eV/f.u..